Material: RbLuBAu
Method: DFT, PBE
State: relaxed

a b c (Å): 4.834 4.834 4.834
angles (deg): 60.00 60.00 60.00
Atoms (fractional coordinates):
B: 0.500 0.500 0.500
Lu: 0.000 0.000 0.000
Au: 0.750 0.750 0.750
Rb: 0.250 0.250 0.250

Properties
* calculated total energy: -0.22321 Ry/atom
* spin magnetization: 0.00 μB/atom